Entry 1:
First-principles (PBE) data for an optimized crystal structure of SrCd8Au2, as listed in the Alexandria database.

Cell: 7.1646 7.1646 5.8622 Å, 90.00 90.00 90.00°
Positions (direct):
1 Cd 0.2107 0.2107 0.2506
2 Cd 0.2107 0.7893 0.2506
3 Cd 0.7893 0.7893 0.7494
4 Cd 0.2107 0.7893 0.7494
5 Cd 0.7893 0.7893 0.2506
6 Cd 0.7893 0.2107 0.7494
7 Cd 0.7893 0.2107 0.2506
8 Cd 0.2107 0.2107 0.7494
9 Sr 0.5000 0.5000 0.5000
10 Au 0.0000 0.5000 0.0000
11 Au 0.5000 0.0000 0.0000

Calculated formation energy   -0.24 eV per formula unit



Entry 2:
First-principles (PBE) data for an optimized crystal structure of SrCdAu3, as listed in the Alexandria database.

Cell: 5.7703 5.7703 5.7703 Å, 90.00 90.00 90.00°
Positions (direct):
1 Sr 0.0000 0.0000 0.0000
2 Cd 0.5000 0.5000 0.5000
3 Au 0.0000 0.0000 0.5000
4 Au 0.5000 0.0000 0.0000
5 Au 0.0000 0.5000 0.0000

Calculated formation energy   2.43 eV per formula unit



Entry 3:
First-principles (PBE) data for an optimized crystal structure of SrCd2Au6, as listed in the Alexandria database.

Cell: 3.1853 8.3297 8.3298 Å, 120.00 90.00 90.00°
Positions (direct):
1 Au 0.5000 0.3354 0.3354
2 Au 0.5000 0.0000 0.3354
3 Au 0.5000 0.6646 0.0000
4 Au 0.5000 0.6646 0.6646
5 Au 0.5000 0.3354 0.0000
6 Au 0.5000 0.0000 0.6646
7 Sr 0.0000 0.0000 0.0000
8 Cd 0.0000 0.3333 0.6667
9 Cd 0.0000 0.6667 0.3333

Calculated formation energy   -1.80 eV per formula unit



Entry 4:
First-principles (PBE) data for an optimized crystal structure of Sr2CdAu, as listed in the Alexandria database.

Cell: 6.9352 6.9352 5.2751 Å, 67.59 67.59 33.33°
Positions (direct):
1 Sr 0.7890 0.7890 0.7115
2 Sr 0.9984 0.9984 0.0012
3 Cd 0.1987 0.1987 0.3014
4 Au 0.5139 0.5139 0.4859

Calculated formation energy   -1.69 eV per formula unit



Entry 5:
First-principles (PBE) data for an optimized crystal structure of Sr2CdAu, as listed in the Alexandria database.

Cell: 8.6367 8.6367 7.2677 Å, 53.55 53.55 90.00°
Positions (direct):
1 Cd 0.2500 0.7500 0.5000
2 Cd 0.5000 0.5000 0.0000
3 Sr 0.8750 0.9031 0.7500
4 Sr 0.6531 0.1250 0.2500
5 Sr 0.0969 0.6250 0.2500
6 Sr 0.3750 0.3469 0.7500
7 Au 0.7500 0.2500 0.5000
8 Au 0.0000 0.0000 0.0000

Calculated formation energy   -1.14 eV per formula unit



Entry 6:
First-principles (PBE) data for an optimized crystal structure of SrCdAu10, as listed in the Alexandria database.

Cell: 4.7045 5.6145 9.7395 Å, 90.00 90.00 90.00°
Positions (direct):
1 Sr 0.0000 0.5000 0.5000
2 Au 0.5000 0.2549 0.7451
3 Au 0.5000 0.7451 0.2549
4 Au 0.0000 0.5000 0.8438
5 Au 0.5000 0.5000 0.0000
6 Au 0.5000 0.7451 0.7451
7 Au 0.0000 0.0000 0.6877
8 Au 0.5000 0.0000 0.5000
9 Au 0.0000 0.0000 0.3123
10 Au 0.0000 0.5000 0.1562
11 Au 0.5000 0.2549 0.2549
12 Cd 0.0000 0.0000 0.0000

Calculated formation energy   -2.83 eV per formula unit



Entry 7:
First-principles (PBE) data for an optimized crystal structure of Sr2CdAu, as listed in the Alexandria database.

Cell: 4.6631 8.0511 6.5947 Å, 35.42 90.00 90.00°
Positions (direct):
1 Au 0.5000 0.5000 0.5000
2 Sr 0.0000 0.0000 0.0000
3 Sr 0.5000 0.5000 0.0000
4 Cd 0.0000 0.0000 0.5000

Calculated formation energy   -1.60 eV per formula unit



Entry 8:
First-principles (PBE) data for an optimized crystal structure of Sr2Cd12Au5, as listed in the Alexandria database.

Cell: 7.6191 7.6191 7.6191 Å, 83.64 83.64 83.64°
Positions (direct):
1 Au 0.5000 0.0000 0.0000
2 Au 0.1053 0.1053 0.1053
3 Au 0.8947 0.8947 0.8947
4 Au 0.0000 0.0000 0.5000
5 Au 0.0000 0.5000 0.0000
6 Cd 0.3498 0.8504 0.3498
7 Cd 0.1496 0.6502 0.6502
8 Cd 0.2931 0.7069 0.0000
9 Cd 0.7069 0.0000 0.2931
10 Cd 0.2931 0.0000 0.7069
11 Cd 0.6502 0.6502 0.1496
12 Cd 0.3498 0.3498 0.8504
13 Cd 0.8504 0.3498 0.3498
14 Cd 0.0000 0.7069 0.2931
15 Cd 0.0000 0.2931 0.7069
16 Cd 0.6502 0.1496 0.6502
17 Cd 0.7069 0.2931 0.0000
18 Sr 0.6685 0.6685 0.6685
19 Sr 0.3315 0.3315 0.3315

Calculated formation energy   -4.60 eV per formula unit



Entry 9:
First-principles (PBE) data for an optimized crystal structure of Sr8Cd2Au3, as listed in the Alexandria database.

Cell: 5.5517 11.1915 9.6925 Å, 125.27 90.00 90.00°
Positions (direct):
1 Sr 0.0000 0.6200 0.2401
2 Sr 0.0000 0.3800 0.7599
3 Sr 0.0000 0.1160 0.2319
4 Sr 0.5000 0.6370 0.7633
5 Sr 0.0000 0.8840 0.7681
6 Sr 0.5000 0.8739 0.2370
7 Sr 0.5000 0.3630 0.2367
8 Sr 0.5000 0.1261 0.7630
9 Au 0.0000 0.7391 0.0002
10 Au 0.5000 0.0000 0.0000
11 Au 0.0000 0.2609 0.9998
12 Cd 0.5000 0.2551 0.5101
13 Cd 0.5000 0.7449 0.4899

Calculated formation energy   -5.29 eV per formula unit



Entry 10:
First-principles (PBE) data for an optimized crystal structure of SrCd3Au2, as listed in the Alexandria database.

Cell: 4.4073 8.9552 8.9545 Å, 61.66 75.75 75.75°
Positions (direct):
1 Cd 0.0000 0.6533 0.3467
2 Cd 0.3289 0.8718 0.4704
3 Cd 0.6713 0.5298 0.1277
4 Cd 0.0000 0.3467 0.6533
5 Cd 0.3287 0.4702 0.8723
6 Cd 0.6711 0.1282 0.5296
7 Au 0.4999 0.1531 0.8471
8 Au 0.1948 0.3053 0.3050
9 Au 0.5001 0.8469 0.1529
10 Au 0.8052 0.6947 0.6950
11 Sr 0.8655 0.1343 0.1347
12 Sr 0.1345 0.8657 0.8653

Calculated formation energy   -2.31 eV per formula unit



Entry 11:
First-principles (PBE) data for an optimized crystal structure of SrCd6Au2, as listed in the Alexandria database.

Cell: 6.2458 8.1780 8.1780 Å, 43.93 54.04 54.04°
Positions (direct):
1 Sr 0.0000 0.0000 0.0000
2 Au 0.2823 0.4051 0.4051
3 Au 0.7177 0.5949 0.5949
4 Cd 0.7729 0.9887 0.5032
5 Cd 0.5000 0.7483 0.2517
6 Cd 0.2271 0.0113 0.4968
7 Cd 0.5000 0.2517 0.7483
8 Cd 0.7729 0.5032 0.9887
9 Cd 0.2271 0.4968 0.0113

Calculated formation energy   -1.77 eV per formula unit



Entry 12:
First-principles (PBE) data for an optimized crystal structure of SrCdAu, as listed in the Alexandria database.

Cell: 4.5536 7.7964 9.0918 Å, 90.00 90.00 90.00°
Positions (direct):
1 Cd 0.7500 0.8569 0.9382
2 Cd 0.7500 0.3569 0.5618
3 Cd 0.2500 0.1431 0.0618
4 Cd 0.2500 0.6431 0.4382
5 Sr 0.7500 0.4606 0.1841
6 Sr 0.7500 0.9606 0.3159
7 Sr 0.2500 0.0394 0.6841
8 Sr 0.2500 0.5394 0.8159
9 Au 0.2500 0.2574 0.3749
10 Au 0.7500 0.2426 0.8749
11 Au 0.7500 0.7426 0.6251
12 Au 0.2500 0.7574 0.1251

Calculated formation energy   -1.83 eV per formula unit



Entry 13:
First-principles (PBE) data for an optimized crystal structure of Sr2CdAu, as listed in the Alexandria database.

Cell: 3.9231 3.9231 8.5740 Å, 90.00 90.00 89.97°
Positions (direct):
1 Au 0.0000 0.0000 0.5355
2 Cd 0.5000 0.5000 0.7041
3 Sr 0.0000 0.0000 0.9313
4 Sr 0.5000 0.5000 0.3291

Calculated formation energy   -1.52 eV per formula unit



Entry 14:
First-principles (PBE) data for an optimized crystal structure of SrCd2Au9, as listed in the Alexandria database.

Cell: 5.6812 5.6812 9.6586 Å, 72.90 72.90 60.00°
Positions (direct):
1 Au 0.5885 0.5885 0.7423
2 Au 0.5000 0.5000 0.5000
3 Au 0.4115 0.4115 0.2577
4 Au 0.6664 0.6664 0.0008
5 Au 0.5885 0.0806 0.7423
6 Au 0.3336 0.3336 0.9992
7 Au 0.0806 0.5885 0.7423
8 Au 0.9194 0.4115 0.2577
9 Au 0.4115 0.9194 0.2577
10 Cd 0.8539 0.8539 0.4384
11 Cd 0.1461 0.1461 0.5616
12 Sr 0.0000 0.0000 0.0000

Calculated formation energy   -3.09 eV per formula unit



Entry 15:
First-principles (PBE) data for an optimized crystal structure of SrCdAu3, as listed in the Alexandria database.

Cell: 5.2361 5.2361 5.2361 Å, 90.00 90.00 90.00°
Positions (direct):
1 Cd 0.0000 0.0000 0.0000
2 Au 0.0000 0.5000 0.0000
3 Au 0.0000 0.0000 0.5000
4 Au 0.5000 0.0000 0.0000
5 Sr 0.5000 0.5000 0.5000

Calculated formation energy   -0.84 eV per formula unit



Entry 16:
First-principles (PBE) data for an optimized crystal structure of SrCd3Au8, as listed in the Alexandria database.

Cell: 5.6697 5.6697 9.6709 Å, 72.95 72.95 60.00°
Positions (direct):
1 Cd 0.0074 0.0074 0.9779
2 Cd 0.4863 0.4863 0.5410
3 Cd 0.3715 0.3715 0.8855
4 Au 0.9379 0.4368 0.6875
5 Au 0.1884 0.1884 0.4347
6 Au 0.4396 0.9400 0.1808
7 Au 0.9379 0.9379 0.6875
8 Au 0.4368 0.9379 0.6875
9 Au 0.4396 0.4396 0.1808
10 Au 0.6885 0.6885 0.9346
11 Au 0.9400 0.4396 0.1808
12 Sr 0.8762 0.8762 0.3714

Calculated formation energy   -3.15 eV per formula unit



Entry 17:
First-principles (PBE) data for an optimized crystal structure of Sr2Cd5Au4, as listed in the Alexandria database.

Cell: 6.0136 5.7695 9.7500 Å, 80.75 72.04 58.59°
Positions (direct):
1 Au 0.4760 0.3093 0.7388
2 Au 0.5240 0.6907 0.2612
3 Au 0.7853 0.6907 0.7388
4 Au 0.2147 0.3093 0.2612
5 Cd 0.2500 0.5000 0.5000
6 Cd 0.5000 0.5000 0.0000
7 Cd 0.5000 0.0000 0.0000
8 Cd 0.7500 0.5000 0.5000
9 Cd 0.0000 0.5000 0.0000
10 Sr 0.1325 0.0000 0.7351
11 Sr 0.8675 0.0000 0.2649

Calculated formation energy   -4.48 eV per formula unit



Entry 18:
First-principles (PBE) data for an optimized crystal structure of Sr3Cd6Au5, as listed in the Alexandria database.

Cell: 4.6926 10.3948 14.1723 Å, 90.00 90.00 90.00°
Positions (direct):
1 Cd 0.5000 0.4135 0.1795
2 Cd 0.5000 0.9683 0.0000
3 Cd 0.5000 0.0147 0.3507
4 Cd 0.5000 0.4135 0.8205
5 Cd 0.0000 0.4337 0.5000
6 Cd 0.0000 0.9853 0.8507
7 Cd 0.0000 0.5865 0.3205
8 Cd 0.0000 0.9853 0.1493
9 Cd 0.5000 0.0147 0.6493
10 Cd 0.0000 0.5865 0.6795
11 Cd 0.0000 0.0317 0.5000
12 Cd 0.5000 0.5663 0.0000
13 Au 0.0000 0.5522 0.1184
14 Au 0.0000 0.8564 0.3405
15 Au 0.5000 0.4478 0.3816
16 Au 0.5000 0.1436 0.8405
17 Au 0.5000 0.1436 0.1595
18 Au 0.0000 0.8564 0.6595
19 Au 0.5000 0.2136 0.5000
20 Au 0.0000 0.7864 0.0000
21 Au 0.5000 0.4478 0.6184
22 Au 0.0000 0.5522 0.8816
23 Sr 0.0000 0.2456 0.6926
24 Sr 0.5000 0.7544 0.8074
25 Sr 0.5000 0.7544 0.1926
26 Sr 0.5000 0.7299 0.5000
27 Sr 0.0000 0.2456 0.3074
28 Sr 0.0000 0.2701 0.0000

Calculated formation energy   -6.91 eV per formula unit



Entry 19:
First-principles (PBE) data for an optimized crystal structure of Sr2CdAu3, as listed in the Alexandria database.

Cell: 6.1406 6.1406 7.6597 Å, 52.35 52.35 46.76°
Positions (direct):
1 Au 0.1672 0.1672 0.7960
2 Au 0.8382 0.8382 0.2074
3 Au 0.1583 0.1583 0.3884
4 Sr 0.5445 0.5445 0.2060
5 Sr 0.4574 0.4574 0.7985
6 Cd 0.8343 0.8343 0.6035

Calculated formation energy   -3.98 eV per formula unit



no.,total DFT energy (no corrections) (eV/atom)
1,-1.436
2,-1.999
3,-2.775
4,-2.311
5,-2.173
6,-3.183
7,-2.289
8,-1.860
9,-2.339
10,-2.215
11,-1.722
12,-2.568
13,-2.268
14,-3.008
15,-2.653
16,-2.816
17,-2.321
18,-2.417
19,-3.016